The following is a PBE calculation of a relaxed LaS2N2 crystal, from Alexandria via LeMat-Bulk.

a = 3.985 Å, b = 3.985 Å, c = 4.515 Å
α = 90.00°, β = 90.00°, γ = 90.00°
Element x y z (fractional)
La (0.000, 0.000, 0.000)
S (0.500, 0.500, 0.000)
S (0.500, 0.500, 0.500)
N (0.000, 0.500, 0.500)
N (0.500, 0.000, 0.500)

Computed properties:
Mass density ... 5.4 Mg/m³
Magnetization ... 0.000 μB per atom
E_form (uncorrected) ... 0.303 eV per atom
ΔE to the lowest computed polymorph ... 0 meV/atom

=====

The following is a PBE calculation of a relaxed CaPa2MnN4 crystal, from Alexandria via LeMat-Bulk.

a = 5.184 Å, b = 5.184 Å, c = 5.184 Å
α = 111.90°, β = 111.90°, γ = 104.72°
Element x y z (fractional)
Ca (0.000, 0.000, 0.000)
Pa (0.250, 0.750, 0.500)
Pa (0.750, 0.250, 0.500)
Mn (0.500, 0.500, 0.000)
N (0.268, 0.268, 0.536)
N (0.268, 0.732, 0.000)
N (0.732, 0.268, 0.000)
N (0.732, 0.732, 0.464)

Computed properties:
Mass density ... 9.5 Mg/m³
Magnetization ... 0.402 μB per atom
E_form (uncorrected) ... -0.942 eV per atom

=====

The following is a PBE calculation of a relaxed Zr2Zn2Os crystal, from Alexandria via LeMat-Bulk.

a = 8.849 Å, b = 8.849 Å, c = 8.849 Å
α = 158.34°, β = 158.34°, γ = 30.82°
Element x y z (fractional)
Zr (0.095, 0.095, 0.000)
Zr (0.905, 0.905, 0.000)
Zn (0.250, 0.750, 0.500)
Zn (0.750, 0.250, 0.500)
Os (0.500, 0.500, 0.000)

Computed properties:
Mass density ... 8.9 Mg/m³
Energy relative to the elements ... -0.01 eV per atom
Magnetization ... 0.000 μB per atom
ΔE to the lowest computed polymorph ... 168 meV/atom

=====

The following is a PBE calculation of a relaxed Ac4SmTl5 crystal, from Alexandria via LeMat-Bulk.

a = 4.010 Å, b = 4.010 Å, c = 21.116 Å
α = 90.00°, β = 90.00°, γ = 90.00°
Element x y z (fractional)
Ac (0.000, 0.000, 0.104)
Ac (0.000, 0.000, 0.311)
Ac (0.000, 0.000, 0.689)
Ac (0.000, 0.000, 0.896)
Sm (0.000, 0.000, 0.500)
Tl (0.500, 0.500, 0.000)
Tl (0.500, 0.500, 0.208)
Tl (0.500, 0.500, 0.415)
Tl (0.500, 0.500, 0.585)
Tl (0.500, 0.500, 0.792)

Computed properties:
Mass density ... 10.2 Mg/m³
Energy relative to the elements ... -0.35 eV per atom
Magnetization ... 0.000 μB per atom

=====

Question: Which value of mass density does entry 3 give?
Answer: 8.9 Mg/m³

=====

Question: Number 2 is which compound?
Answer: CaPa2MnN4